Entry 1:
{
  "formula": "Hf3Pa5N8",
  "functional": "GGA-PBE",
  "state": "optimized geometry",
  "magmom_total_mub_per_cell": 0.0,
  "raw_formation_energy_mev_per_atom": -1677,
  "energy_ev_per_cell": -170.77,
  "spacegroup": "R-3m",
  "cell": [[5.808, 0.000, 3.327], [1.951, 5.470, 3.327], [-0.075, -0.053, 6.863]],
  "species": ["Hf", "Hf", "Hf", "Pa", "Pa", "Pa", "Pa", "Pa", "N", "N", "N", "N", "N", "N", "N", "N"],
  "frac_coords": [[0.500, 0.000, 0.500], [0.000, 0.000, 0.500], [0.000, 0.500, 0.500], [0.500, 0.000, 0.000], [0.500, 0.500, 0.000], [0.000, 0.000, 0.000], [0.000, 0.500, 0.000], [0.500, 0.500, 0.500], [0.252, 0.252, 0.724], [0.252, 0.773, 0.724], [0.773, 0.252, 0.724], [0.759, 0.759, 0.723], [0.748, 0.748, 0.276], [0.748, 0.227, 0.276], [0.227, 0.748, 0.276], [0.241, 0.241, 0.277]]
}

---

Entry 2:
{
  "formula": "LiTh2PaSe6",
  "functional": "GGA-PBE",
  "state": "optimized geometry",
  "magmom_total_mub_per_cell": 2.1,
  "raw_formation_energy_mev_per_atom": -1147,
  "energy_ev_per_cell": -58.62,
  "spacegroup": "P4mm",
  "cell": [[-5.410, -4.297, -0.746], [2.700, -2.452, -5.458], [3.112, -4.539, 3.579]],
  "species": ["Li", "Th", "Th", "Pa", "Se", "Se", "Se", "Se", "Se", "Se"],
  "frac_coords": [[0.536, 0.000, 0.000], [0.007, 0.500, 0.000], [0.007, 0.000, 0.500], [0.563, 0.500, 0.500], [0.751, 0.240, 0.240], [0.751, 0.240, 0.760], [0.157, 0.500, 0.500], [0.173, 0.000, 0.000], [0.751, 0.760, 0.760], [0.751, 0.760, 0.240]]
}

---

Entry 3:
{
  "formula": "ScCuNiPt",
  "functional": "GGA-PBE",
  "state": "optimized geometry",
  "magmom_total_mub_per_cell": 0.0,
  "energy_ev_per_cell": -24.83,
  "spacegroup": "Pmmm",
  "ef_ev_per_atom": -0.6460,
  "de_polymorph_mev_per_atom": 0.0,
  "cell": [[-2.657, -1.684, -2.018], [2.338, 0.160, -3.212], [1.492, -3.449, 0.914]],
  "species": ["Sc", "Cu", "Ni", "Pt"],
  "frac_coords": [[0.500, 0.500, 0.000], [0.500, 0.000, 0.500], [0.000, 0.500, 0.500], [0.000, 0.000, 0.000]]
}

---

Entry 4:
{
  "formula": "HfInSn",
  "functional": "GGA-PBE",
  "state": "optimized geometry",
  "magmom_total_mub_per_cell": 0.0,
  "energy_ev_per_cell": -33.67,
  "spacegroup": "P4/nmm",
  "ef_ev_per_atom": -0.0475,
  "de_polymorph_mev_per_atom": 0.0,
  "cell": [[-1.075, 1.579, 3.699], [-1.842, -3.597, 1.000], [7.056, -2.721, 3.212]],
  "species": ["Hf", "Hf", "In", "In", "Sn", "Sn"],
  "frac_coords": [[0.000, 0.500, 0.698], [0.500, 0.000, 0.302], [0.000, 0.000, 0.000], [0.500, 0.500, 0.000], [0.000, 0.500, 0.339], [0.500, 0.000, 0.661]]
}

---

Entry 5:
{
  "formula": "CaScRe2",
  "functional": "GGA-PBE",
  "state": "optimized geometry",
  "magmom_total_mub_per_cell": 0.0,
  "energy_ev_per_cell": -31.01,
  "spacegroup": "Pmmm",
  "ef_ev_per_atom": 0.5557,
  "de_polymorph_mev_per_atom": 430.9,
  "cell": [[3.333, 0.000, 0.000], [0.000, 4.536, 0.000], [0.000, 0.000, 4.775]],
  "species": ["Sc", "Re", "Re", "Ca"],
  "frac_coords": [[0.500, 0.000, 0.500], [0.000, 0.000, 0.000], [0.500, 0.500, 0.000], [0.000, 0.500, 0.500]]
}

---

Entry 6:
{
  "formula": "Y3MnH",
  "functional": "GGA-PBE",
  "state": "optimized geometry",
  "magmom_total_mub_per_cell": 0.0,
  "energy_ev_per_cell": -30.49,
  "spacegroup": "Pm-3m",
  "de_polymorph_mev_per_atom": 0.0,
  "cell": [[4.684, 0.000, 0.000], [0.000, 4.684, 0.000], [0.000, 0.000, 4.684]],
  "species": ["Y", "Y", "Y", "H", "Mn"],
  "frac_coords": [[0.000, 0.500, 0.000], [0.000, 0.000, 0.500], [0.500, 0.000, 0.000], [0.000, 0.000, 0.000], [0.500, 0.500, 0.500]]
}

---

Entry 7:
{
  "formula": "Y2Sn5Rh3",
  "functional": "GGA-PBE",
  "state": "optimized geometry",
  "magmom_total_mub_per_cell": 0.0,
  "energy_ev_per_cell": -124.35,
  "spacegroup": "Cmc2_1",
  "ef_ev_per_atom": -0.7177,
  "cell": [[13.429, 0.014, 0.000], [-12.690, 4.394, 0.000], [0.000, 0.000, 7.221]],
  "species": ["Y", "Y", "Y", "Y", "Sn", "Sn", "Sn", "Sn", "Sn", "Sn", "Sn", "Sn", "Sn", "Sn", "Rh", "Rh", "Rh", "Rh", "Rh", "Rh"],
  "frac_coords": [[0.476, 0.524, 0.240], [0.172, 0.828, 0.255], [0.524, 0.476, 0.740], [0.828, 0.172, 0.755], [0.706, 0.294, 0.547], [0.597, 0.403, 0.111], [0.048, 0.952, 0.403], [0.952, 0.048, 0.903], [0.709, 0.291, 0.975], [0.291, 0.709, 0.475], [0.294, 0.706, 0.047], [0.880, 0.120, 0.236], [0.120, 0.880, 0.736], [0.403, 0.597, 0.611], [0.394, 0.606, 0.985], [0.778, 0.222, 0.262], [0.222, 0.778, 0.762], [0.050, 0.950, 0.019], [0.606, 0.394, 0.485], [0.950, 0.050, 0.519]]
}

---

Entry 8:
{
  "formula": "FeRe2Ru",
  "functional": "GGA-PBE",
  "state": "optimized geometry",
  "magmom_total_mub_per_cell": 2.9,
  "energy_ev_per_cell": -41.72,
  "spacegroup": "Imm2",
  "ef_ev_per_atom": 0.2275,
  "de_polymorph_mev_per_atom": 241.4,
  "cell": [[5.138, 0.004, -0.001], [2.454, 4.514, 0.001], [-3.277, -3.131, 2.420]],
  "species": ["Fe", "Re", "Re", "Ru"],
  "frac_coords": [[0.248, 0.748, 0.500], [0.020, 0.020, 0.000], [0.752, 0.252, 0.500], [0.481, 0.481, 0.000]]
}

---

Entry 9:
{
  "formula": "Li4LuHg",
  "functional": "GGA-PBE",
  "state": "optimized geometry",
  "magmom_total_mub_per_cell": 0.0,
  "energy_ev_per_cell": -13.01,
  "spacegroup": "F-43m",
  "ef_ev_per_atom": -0.0888,
  "cell": [[5.372, 0.000, 0.000], [2.686, 4.652, 0.000], [2.686, 1.551, 4.386]],
  "species": ["Lu", "Hg", "Li", "Li", "Li", "Li"],
  "frac_coords": [[0.250, 0.250, 0.250], [0.000, 0.000, 0.000], [0.627, 0.627, 0.120], [0.627, 0.120, 0.627], [0.627, 0.627, 0.627], [0.120, 0.627, 0.627]]
}

---

Entry 10:
{
  "formula": "Tb4PC2O",
  "functional": "GGA-PBE",
  "state": "optimized geometry",
  "magmom_total_mub_per_cell": 0.0,
  "raw_formation_energy_mev_per_atom": -1142,
  "energy_ev_per_cell": -112.94,
  "spacegroup": "Cmcm",
  "cell": [[3.744, 0.000, 0.000], [-1.872, 6.239, 0.000], [0.000, 0.000, 12.817]],
  "species": ["Tb", "Tb", "Tb", "Tb", "Tb", "Tb", "Tb", "Tb", "P", "P", "C", "C", "C", "C", "O", "O"],
  "frac_coords": [[0.262, 0.525, 0.112], [0.738, 0.475, 0.612], [0.738, 0.475, 0.888], [0.262, 0.525, 0.388], [0.000, 0.000, 0.500], [0.000, 0.000, 0.000], [0.436, 0.873, 0.750], [0.564, 0.127, 0.250], [0.114, 0.228, 0.750], [0.886, 0.772, 0.250], [0.368, 0.737, 0.553], [0.632, 0.263, 0.053], [0.632, 0.263, 0.447], [0.368, 0.737, 0.947], [0.845, 0.690, 0.750], [0.155, 0.310, 0.250]]
}

---

Entry 11:
{
  "formula": "CdTe2HN",
  "functional": "GGA-PBE",
  "state": "optimized geometry",
  "magmom_total_mub_per_cell": 0.4,
  "energy_ev_per_cell": -14.16,
  "spacegroup": "P4/mmm",
  "de_polymorph_mev_per_atom": 0.0,
  "cell": [[5.589, 0.000, 0.000], [0.000, 5.589, 0.000], [0.000, 0.000, 2.962]],
  "species": ["H", "N", "Te", "Te", "Cd"],
  "frac_coords": [[0.000, 0.000, 0.000], [0.000, 0.000, 0.500], [0.000, 0.500, 0.000], [0.500, 0.000, 0.000], [0.500, 0.500, 0.500]]
}

---

Entry 12:
{
  "formula": "NpPaC",
  "functional": "GGA-PBE",
  "state": "optimized geometry",
  "magmom_total_mub_per_cell": 7.7,
  "energy_ev_per_cell": -62.25,
  "spacegroup": "Cmcm",
  "ef_ev_per_atom": 0.1793,
  "de_polymorph_mev_per_atom": 189.4,
  "cell": [[4.542, -1.343, 0.000], [-2.598, 3.960, 0.000], [0.000, 0.000, 7.630]],
  "species": ["Pa", "Pa", "C", "C", "Np", "Np"],
  "frac_coords": [[0.000, 0.000, 0.500], [0.000, 0.000, 0.000], [0.475, 0.525, 0.250], [0.525, 0.475, 0.750], [0.249, 0.751, 0.750], [0.751, 0.249, 0.250]]
}